A plane-wave DFT calculation with PBE was carried out for an optimized crystal structure of MnPb.

It has space group P-3m1 (No. 164), with a = 3.2787 Å, b = 3.2787 Å, c = 9.9717 Å, α = 90.00°, β = 90.00° and γ = 120.00°. The distinct sites, in fractional coordinates, are Mn at (0.3333, 0.6667, 0.0978) and Pb at (0.3333, 0.6667, 0.6614).

The formation enthalpy at 0 K comes out at 0.553 eV/atom. As for the spin magnetization: 7.7 Bohr magnetons per cell.

A plane-wave DFT calculation with PBE was carried out for an optimized crystal structure of CsLi2Rh2.

It has space group P4/mbm (No. 127), with a = 7.9962 Å, b = 7.9962 Å, c = 3.0885 Å, α = 90.00°, β = 90.00° and γ = 90.00°. The distinct sites, in fractional coordinates, are Cs at (0.0000, 0.0000, 0.0000), Li at (0.1572, 0.3428, 0.5000) and Rh at (0.1116, 0.6116, 0.0000).

The formation enthalpy at 0 K comes out at 0.393 eV/atom. As for the spin magnetization: 0.0 Bohr magnetons per cell.

A plane-wave DFT calculation with PBE was carried out for an optimized crystal structure of Pm12Cu3N5.

It has space group Ia-3d (No. 230), with a = 15.7155 Å, b = 15.7155 Å, c = 15.7155 Å, α = 90.00°, β = 90.00° and γ = 90.00°. The distinct sites, in fractional coordinates, are Pm at (0.0338, 0.0541, 0.6491), Cu at (0.0000, 0.2500, 0.1250), N at (0.0000, 0.0000, 0.0000) and N at (0.0000, 0.2500, 0.3750).

As for the spin magnetization: 0.0 Bohr magnetons per cell. The value obtained for the energy relative to the elements, uncorrected is -0.6172 eV per atom.

A plane-wave DFT calculation with PBE was carried out for an optimized crystal structure of Ho2TaGa.

It has space group R-3m (No. 166, hexagonal axes), with a = 3.1895 Å, b = 3.1895 Å, c = 32.4668 Å, α = 90.00°, β = 90.00° and γ = 120.00°. The distinct sites, in fractional coordinates, are Ho at (0.0000, 0.0000, 0.0930), Ta at (0.0000, 0.0000, 0.0000) and Ga at (0.0000, 0.0000, 0.5000).

The formation enthalpy at 0 K comes out at 0.391 eV/atom. As for the spin magnetization: 2.0 Bohr magnetons per cell.

A plane-wave DFT calculation with PBE was carried out for an optimized crystal structure of CdTc4Pb.

It has space group F-43m (No. 216), with a = 7.4992 Å, b = 7.4992 Å, c = 7.4992 Å, α = 90.00°, β = 90.00° and γ = 90.00°. The distinct sites, in fractional coordinates, are Cd at (0.0000, 0.0000, 0.0000), Tc at (0.1252, 0.1252, 0.3748) and Pb at (0.2500, 0.2500, 0.7500).

The formation enthalpy at 0 K comes out at 0.582 eV/atom. As for the spin magnetization: 0.0 Bohr magnetons per cell.

A plane-wave DFT calculation with PBE was carried out for an optimized crystal structure of Fe2PtCl.

It has space group P4mm (No. 99), with a = 3.0294 Å, b = 3.0294 Å, c = 7.0396 Å, α = 90.00°, β = 90.00° and γ = 90.00°. The distinct sites, in fractional coordinates, are Fe at (0.0000, 0.0000, 0.0000), Fe at (0.5000, 0.5000, 0.2054), Pt at (0.0000, 0.0000, 0.4018) and Cl at (0.5000, 0.5000, 0.8004).

As for the spin magnetization: 6.6 Bohr magnetons per cell. The value obtained for the energy relative to the elements, uncorrected is 0.1204 eV per atom. Its polymorph energy (0 for the lowest one) is 178 meV/atom.

A plane-wave DFT calculation with PBE was carried out for an optimized crystal structure of TiTl3Cr2Se6.

It has space group C2/m (No. 12), with a = 6.4154 Å, b = 11.1212 Å, c = 8.3942 Å, α = 90.00°, β = 104.95° and γ = 90.00°. The distinct sites, in fractional coordinates, are Ti at (0.0000, 0.0000, 0.0000), Tl at (0.0000, 0.1667, 0.5000), Tl at (0.0000, 0.5000, 0.5000), Cr at (0.0000, 0.3335, 0.0000), Se at (0.2225, 0.5000, 0.1757) and Se at (0.2279, 0.1686, 0.1762).

As for the spin magnetization: 13.3 Bohr magnetons per cell. The value obtained for the energy relative to the elements, uncorrected is -0.5961 eV per atom.

A plane-wave DFT calculation with PBE was carried out for an optimized crystal structure of LiPa2TeO8.

It has space group Cmmm (No. 65), with a = 6.8723 Å, b = 7.0053 Å, c = 7.1275 Å, α = 90.00°, β = 90.00° and γ = 90.00°. The distinct sites, in fractional coordinates, are Li at (0.0000, 0.0000, 0.0000), Pa at (0.0000, 0.5000, 0.2431), Te at (0.0000, 0.0000, 0.5000), O at (0.0000, 0.1951, 0.2826), O at (0.1873, 0.5000, 0.0000) and O at (0.1975, 0.5000, 0.5000).

As for the spin magnetization: 0.0 Bohr magnetons per cell. The value obtained for the energy relative to the elements, uncorrected is -2.5581 eV per atom.

A plane-wave DFT calculation with PBE was carried out for an optimized crystal structure of Na2Ga4SnAu3.

It has space group P-4m2 (No. 115), with a = 4.3532 Å, b = 4.3532 Å, c = 11.5573 Å, α = 90.00°, β = 90.00° and γ = 90.00°. The distinct sites, in fractional coordinates, are Na at (0.0000, 0.5000, 0.2376), Ga at (0.0000, 0.0000, 0.0000), Ga at (0.0000, 0.5000, 0.6502), Ga at (0.5000, 0.5000, 0.0000), Sn at (0.0000, 0.0000, 0.5000), Au at (0.0000, 0.5000, 0.8678) and Au at (0.5000, 0.5000, 0.5000).

The formation enthalpy at 0 K comes out at -0.258 eV/atom. As for the spin magnetization: 0.0 Bohr magnetons per cell.

A plane-wave DFT calculation with PBE was carried out for an optimized crystal structure of AlBi2C.

It has space group I-42d (No. 122), with a = 6.0523 Å, b = 6.0523 Å, c = 11.8531 Å, α = 90.00°, β = 90.00° and γ = 90.00°. The distinct sites, in fractional coordinates, are Al at (0.0000, 0.0000, 0.0000), Bi at (0.1940, 0.2500, 0.6250) and C at (0.0000, 0.0000, 0.5000).

The formation enthalpy at 0 K comes out at 1.006 eV/atom. As for the spin magnetization: 0.0 Bohr magnetons per cell. Its polymorph energy (0 for the lowest one) is 0 meV/atom.

A plane-wave DFT calculation with PBE was carried out for an optimized crystal structure of ZnSi2Se.

It has space group P4mm (No. 99), with a = 3.4925 Å, b = 3.4925 Å, c = 6.3740 Å, α = 90.00°, β = 90.00° and γ = 90.00°. The distinct sites, in fractional coordinates, are Zn at (0.0000, 0.0000, 0.0000), Si at (0.0000, 0.0000, 0.3787), Si at (0.5000, 0.5000, 0.4783) and Se at (0.5000, 0.5000, 0.8487).

As for the spin magnetization: 0.0 Bohr magnetons per cell. The value obtained for the energy relative to the elements, uncorrected is 0.0123 eV per atom. Its polymorph energy (0 for the lowest one) is 0 meV/atom.

A plane-wave DFT calculation with PBE was carried out for an optimized crystal structure of AlRh.

It has space group P-1 (No. 2), with a = 4.7973 Å, b = 4.8912 Å, c = 5.2297 Å, α = 69.52°, β = 89.32° and γ = 80.96°. The distinct sites, in fractional coordinates, are Al at (0.1073, 0.2338, 0.2539), Al at (0.3863, 0.7490, 0.0714), Rh at (0.1109, 0.2302, 0.7586) and Rh at (0.3950, 0.7334, 0.5849).

The formation enthalpy at 0 K comes out at -0.829 eV/atom. As for the spin magnetization: 0.0 Bohr magnetons per cell.

A plane-wave DFT calculation with PBE was carried out for an optimized crystal structure of K3Tl2InO6.

It has space group C2/m (No. 12), with a = 5.9840 Å, b = 10.3656 Å, c = 6.4999 Å, α = 90.00°, β = 107.88° and γ = 90.00°. The distinct sites, in fractional coordinates, are K at (0.0000, 0.0000, 0.0000), K at (0.0000, 0.3318, 0.0000), Tl at (0.0000, 0.1665, 0.5000), In at (0.0000, 0.5000, 0.5000), O at (0.2250, 0.3394, 0.6930) and O at (0.2433, 0.0000, 0.6932).

As for the spin magnetization: 0.0 Bohr magnetons per cell. The value obtained for the energy relative to the elements, uncorrected is -1.2190 eV per atom.